*P*
Density functional theory data (PBE-GGA) for IrS3Cl after structural relaxation.

Geometry as POSCAR:
```
IrS3Cl
1.0
4.503 0.000 0.000
0.000 4.503 0.000
0.000 0.000 4.503
S Cl Ir
3 1 1
direct
0.500 0.000 0.000
0.000 0.500 0.000
0.000 0.000 0.500
0.000 0.000 0.000
0.500 0.500 0.500
```

Output
**Magnetic moment**: 0.307 μB per atom
**Calculated volume**: 91 Å³ per cell
**DOS(E_F)**: 0.84 states/eV per atom

*Q*
Density functional theory data (PBE-GGA) for IrS3Cl after structural relaxation.

Geometry as POSCAR:
```
IrS3Cl
1.0
4.656 0.000 0.000
0.000 4.656 0.000
0.000 0.000 4.656
S Ir Cl
3 1 1
direct
0.500 0.000 0.000
0.000 0.500 0.000
0.000 0.000 0.500
0.000 0.000 0.000
0.500 0.500 0.500
```

Output
**Magnetic moment**: 0.000 μB per atom
**Calculated volume**: 101 Å³ per cell
**DOS(E_F)**: 1.27 states/eV per atom

Structures ranked by computed energy, the most stable listed first: *Q*, *P*.

*P*
Density functional theory data (PBE-GGA) for ScIrS2Cl after structural relaxation.

Geometry as POSCAR:
```
ScIrS2Cl
1.0
-3.818 -0.471 -2.725
1.034 -4.552 -0.661
-2.503 -1.106 3.699
S Ir Cl Sc
2 1 1 1
direct
0.500 0.000 0.000
0.000 0.500 0.000
0.000 0.000 0.000
0.000 0.000 0.500
0.500 0.500 0.500
```

Output
**Magnetic moment**: 0.000 μB per atom
**Calculated volume**: 102 Å³ per cell
**DOS(E_F)**: 0.22 states/eV per atom

*Q*
Density functional theory data (PBE-GGA) for ScIrS2Cl after structural relaxation.

Geometry as POSCAR:
```
ScIrS2Cl
1.0
4.979 0.000 0.000
0.000 4.979 0.000
0.000 0.000 4.692
Cl S Sc Ir
1 2 1 1
direct
0.000 0.000 0.500
0.500 0.000 0.000
0.000 0.500 0.000
0.000 0.000 0.000
0.500 0.500 0.500
```

Output
**Magnetic moment**: 0.506 μB per atom
**Calculated volume**: 116 Å³ per cell
**DOS(E_F)**: 0.91 states/eV per atom

Structures ranked by computed energy, the most stable listed first: *P*, *Q*.

*P*
Density functional theory data (PBE-GGA) for IrSeSCl2 after structural relaxation.

Geometry as POSCAR:
```
IrSeSCl2
1.0
-3.358 0.079 -3.485
-3.140 -2.171 2.976
-1.432 4.090 1.473
Ir Se Cl S
1 1 2 1
direct
0.000 0.000 0.000
0.500 0.500 0.500
0.500 0.000 0.000
0.000 0.500 0.000
0.000 0.000 0.500
```

Output
**Magnetic moment**: 0.220 μB per atom
**Calculated volume**: 107 Å³ per cell
**DOS(E_F)**: 0.78 states/eV per atom

*Q*
Density functional theory data (PBE-GGA) for IrSeSCl2 after structural relaxation.

Geometry as POSCAR:
```
IrSeSCl2
1.0
-3.172 1.601 3.214
-3.590 -1.317 -2.887
-0.087 -4.628 2.219
S Cl Se Ir
1 2 1 1
direct
0.000 0.000 0.500
0.500 0.000 0.000
0.000 0.500 0.000
0.000 0.000 0.000
0.500 0.500 0.500
```

Output
**Magnetic moment**: 0.457 μB per atom
**Calculated volume**: 118 Å³ per cell
**DOS(E_F)**: 1.27 states/eV per atom

Structures ranked by computed energy, the most stable listed first: *P*, *Q*.